# 1
Compound: MgVIn
Source: Alexandria
Functional: PBE
Structure: relaxed

Computed properties:
Space group: Fmmm (69)
Formation energy, meV/atom: 424.8
Volume, A^3/atom: 20.795

```
MgVIn
1.0
-3.1603 4.1599 -1.6396
-3.4387 -0.1661 -2.9359
-5.5842 0.9125 3.9360
V In Mg
2 2 2
Direct
0.8685 0.2630 0.0000
0.1315 0.7370 0.0000
0.3911 0.0000 0.2178
0.6089 0.0000 0.7822
0.7500 0.5000 0.5000
0.2500 0.5000 0.5000
```



# 2
Compound: MgV3In
Source: Alexandria
Functional: PBE
Structure: relaxed

Computed properties:
Space group: Pm-3m (221)
Formation energy, meV/atom: 1521.8
Volume, A^3/atom: 18.765
Energy relative to the lowest polymorph listed for this composition, meV per atom: 0

```
MgV3In
1.0
4.5440 0.0000 0.0000
0.0000 4.5440 0.0000
0.0000 0.0000 4.5440
Mg V In
1 3 1
Direct
0.0000 0.0000 0.0000
0.0000 0.5000 0.0000
0.5000 0.0000 0.0000
0.0000 0.0000 0.5000
0.5000 0.5000 0.5000
```



# 3
Compound: Mg2VIn
Source: Alexandria
Functional: PBE
Structure: relaxed

Computed properties:
Space group: I-42d (122)
Formation energy, meV/atom: 518.8
Volume, A^3/atom: 22.342

```
Mg2VIn
1.0
7.8791 0.0000 0.0000
0.0000 7.8791 0.0000
3.9396 3.9396 2.8791
Mg V In
4 2 2
Direct
0.6194 0.1250 0.2500
0.1306 0.6250 0.2500
0.8750 0.8694 0.7500
0.3750 0.3806 0.7500
0.2500 0.7500 0.5000
0.5000 0.5000 0.0000
0.0000 0.0000 0.0000
0.7500 0.2500 0.5000
```



# 4
Compound: Mg2VIn
Source: Alexandria
Functional: PBE
Structure: relaxed

Computed properties:
Space group: R-3m (166)
Formation energy, meV/atom: 538.7
Volume, A^3/atom: 22.159

```
Mg2VIn
1.0
3.0825 0.0000 0.0000
1.5412 2.6695 0.0000
1.5412 0.8898 10.7718
In Mg V
1 2 1
Direct
0.5000 0.5000 0.5000
0.9135 0.9135 0.2596
0.0865 0.0865 0.7404
0.0000 0.0000 0.0000
```



# 5
Compound: Mg2VIn2
Source: Alexandria
Functional: PBE
Structure: relaxed

Computed properties:
Space group: I4/mmm (139)
Formation energy, meV/atom: 425.1
Volume, A^3/atom: 22.801
Energy relative to the lowest polymorph listed for this composition, meV per atom: 156

```
Mg2VIn2
1.0
-3.0087 -0.3533 2.4732
-2.3359 -0.9752 -2.9810
-0.9832 -7.8517 0.7740
In V Mg
2 1 2
Direct
0.4029 0.4029 0.1943
0.5971 0.5971 0.8057
0.0000 0.0000 0.0000
0.2500 0.7500 0.5000
0.7500 0.2500 0.5000
```



# 6
Compound: Mg2VIn2
Source: Alexandria
Functional: PBE
Structure: relaxed

Computed properties:
Space group: P4/mbm (127)
Formation energy, meV/atom: 269.1
Volume, A^3/atom: 22.636
Energy relative to the lowest polymorph listed for this composition, meV per atom: 0

```
Mg2VIn2
1.0
-3.5171 4.8099 4.6733
-6.6952 -2.8229 -2.1333
0.2017 -2.6702 2.9002
Mg V In
4 2 4
Direct
0.3349 0.1651 0.5000
0.1651 0.6651 0.5000
0.8349 0.3349 0.5000
0.6651 0.8349 0.5000
0.5000 0.5000 0.0000
0.0000 0.0000 0.0000
0.6402 0.1402 0.0000
0.3598 0.8598 0.0000
0.8598 0.6402 0.0000
0.1402 0.3598 0.0000
```



# 7
Compound: MgV2In2
Source: Alexandria
Functional: PBE
Structure: relaxed

Computed properties:
Space group: P4/mbm (127)
Formation energy, meV/atom: 259.3
Volume, A^3/atom: 19.543

```
MgV2In2
1.0
7.6707 0.0000 0.0000
0.0000 7.6707 0.0000
0.0000 0.0000 3.3213
In V Mg
4 4 2
Direct
0.8043 0.3043 0.5000
0.3043 0.1957 0.5000
0.1957 0.6957 0.5000
0.6957 0.8043 0.5000
0.9042 0.5958 0.0000
0.0958 0.4042 0.0000
0.5958 0.0958 0.0000
0.4042 0.9042 0.0000
0.0000 0.0000 0.0000
0.5000 0.5000 0.0000
```



# 8
Compound: MgIn3W
Source: Alexandria
Functional: PBE
Structure: relaxed

Computed properties:
Space group: Pm-3m (221)
Formation energy, meV/atom: 1665.7
Volume, A^3/atom: 26.915
Energy relative to the lowest polymorph listed for this composition, meV per atom: 941

```
MgIn3W
1.0
5.1246 0.0000 0.0000
0.0000 5.1246 0.0000
0.0000 0.0000 5.1246
W In Mg
1 3 1
Direct
0.5000 0.5000 0.5000
0.0000 0.5000 0.0000
0.0000 0.0000 0.5000
0.5000 0.0000 0.0000
0.0000 0.0000 0.0000
```



# 9
Compound: MgInW3
Source: Alexandria
Functional: PBE
Structure: relaxed

Computed properties:
Space group: Pm-3m (221)
Formation energy, meV/atom: 2352.6
Volume, A^3/atom: 19.747
Energy relative to the lowest polymorph listed for this composition, meV per atom: 0

```
MgInW3
1.0
-0.4610 -4.0292 -2.2169
4.5291 -0.0113 -0.9212
0.7977 -2.2643 3.9495
In W Mg
1 3 1
Direct
0.5000 0.5000 0.5000
0.0000 0.5000 0.0000
0.5000 0.0000 0.0000
0.0000 0.0000 0.5000
0.0000 0.0000 0.0000
```



# 10
Compound: Mg2InW2
Source: Alexandria
Functional: PBE
Structure: relaxed

Computed properties:
Space group: P4/mbm (127)
Formation energy, meV/atom: 1010.7
Volume, A^3/atom: 18.637
Energy relative to the lowest polymorph listed for this composition, meV per atom: 340

```
Mg2InW2
1.0
-1.5645 -2.5072 7.4870
-4.3225 -6.1152 -2.9511
2.3613 -1.6419 -0.0564
W In Mg
4 2 4
Direct
0.6851 0.8149 0.5000
0.8149 0.3149 0.5000
0.1851 0.6851 0.5000
0.3149 0.1851 0.5000
0.0000 0.0000 0.0000
0.5000 0.5000 0.0000
0.6147 0.1147 0.0000
0.8853 0.6147 0.0000
0.1147 0.3853 0.0000
0.3853 0.8853 0.0000
```



# 11
Compound: Mg2InW2
Source: Alexandria
Functional: PBE
Structure: relaxed

Computed properties:
Space group: I4/mmm (139)
Formation energy, meV/atom: 670.5
Volume, A^3/atom: 21.287
Energy relative to the lowest polymorph listed for this composition, meV per atom: 0

```
Mg2InW2
1.0
-2.1987 -1.1296 -2.7617
0.7418 -3.5297 0.8532
-6.7701 -2.4270 3.8954
W Mg In
2 2 1
Direct
0.7500 0.2500 0.5000
0.2500 0.7500 0.5000
0.3959 0.3959 0.2081
0.6041 0.6041 0.7919
0.0000 0.0000 0.0000
```



# 12
Compound: MgIn3W
Source: Alexandria
Functional: PBE
Structure: relaxed

Computed properties:
Space group: Pm-3m (221)
Formation energy, meV/atom: 724.4
Volume, A^3/atom: 29.965
Energy relative to the lowest polymorph listed for this composition, meV per atom: 0

```
MgIn3W
1.0
5.3112 0.0000 0.0000
0.0000 5.3112 0.0000
0.0000 0.0000 5.3112
In W Mg
3 1 1
Direct
0.0000 0.0000 0.5000
0.5000 0.0000 0.0000
0.0000 0.5000 0.0000
0.0000 0.0000 0.0000
0.5000 0.5000 0.5000
```



# 13
Compound: Mg4InW
Source: Alexandria
Functional: PBE
Structure: relaxed

Computed properties:
Space group: F-43m (216)
Formation energy, meV/atom: 606.9
Volume, A^3/atom: 20.549

```
Mg4InW
1.0
0.0000 3.9504 3.9504
3.9504 0.0000 3.9504
3.9504 3.9504 0.0000
Mg W In
4 1 1
Direct
0.8731 0.3756 0.3756
0.3756 0.3756 0.3756
0.3756 0.8731 0.3756
0.3756 0.3756 0.8731
0.7500 0.7500 0.7500
0.0000 0.0000 0.0000
```



# 14
Compound: Y7Mg2In2
Source: Alexandria
Functional: PBE
Structure: relaxed

Computed properties:
Space group: Cmmm (65)
Formation energy, meV/atom: 113.8
Volume, A^3/atom: 31.443

```
Y7Mg2In2
1.0
0.1871 4.4319 -5.0124
-6.3270 -4.2607 -4.0025
-4.1506 1.4110 5.0579
In Y Mg
2 7 2
Direct
0.7919 0.5000 0.7919
0.2081 0.5000 0.2081
0.5000 0.6983 0.0000
0.0000 0.3017 0.5000
0.0000 0.6983 0.5000
0.0000 0.0000 0.0000
0.5000 0.2176 0.5000
0.5000 0.3017 0.0000
0.5000 0.7824 0.5000
0.2768 0.0000 0.7232
0.7232 0.0000 0.2768
```



# 15
Compound: Y5Mg4In
Source: Alexandria
Functional: PBE
Structure: relaxed

Computed properties:
Space group: P4/mmm (123)
Formation energy, meV/atom: -199.2
Volume, A^3/atom: 27.287

```
Y5Mg4In
1.0
3.7991 0.0000 0.0000
0.0000 3.7991 0.0000
0.0000 0.0000 18.9060
Mg In Y
4 1 5
Direct
0.0000 0.0000 0.2004
0.0000 0.0000 0.6006
0.0000 0.0000 0.7996
0.0000 0.0000 0.3994
0.0000 0.0000 0.0000
0.5000 0.5000 0.2989
0.5000 0.5000 0.9002
0.5000 0.5000 0.5000
0.5000 0.5000 0.0998
0.5000 0.5000 0.7011
```



# 16
Compound: YMgIn2
Source: Alexandria
Functional: PBE
Structure: relaxed

Computed properties:
Space group: R-3m (166)
Formation energy, meV/atom: -169.8
Volume, A^3/atom: 26.257

```
YMgIn2
1.0
-3.1091 5.1099 8.4165
-6.1553 4.7032 6.8269
-4.8964 2.1757 8.8265
Mg In Y
1 2 1
Direct
0.2500 0.2500 0.2500
0.5039 0.5039 0.5039
0.9961 0.9961 0.9961
0.7500 0.7500 0.7500
```



# 17
Compound: YMgIn2
Source: Alexandria
Functional: PBE
Structure: relaxed

Computed properties:
Space group: F-43m (216)
Formation energy, meV/atom: -103.6
Volume, A^3/atom: 25.471

```
YMgIn2
1.0
5.2425 0.0000 0.0000
2.6212 4.5401 0.0000
2.6212 1.5134 4.2805
Mg In Y
1 2 1
Direct
0.5000 0.5000 0.5000
0.0000 0.0000 0.0000
0.2500 0.2500 0.2500
0.7500 0.7500 0.7500
```



# 18
Compound: YMgIn
Source: Alexandria
Functional: PBE
Structure: relaxed

Computed properties:
Space group: P2/m (10)
Formation energy, meV/atom: -308.0
Volume, A^3/atom: 25.489

```
YMgIn
1.0
7.7210 -0.0636 0.0029
1.3942 4.3492 -0.0001
-0.0019 0.0002 4.5424
Y Mg In
2 2 2
Direct
0.5940 0.0841 0.1157
0.2413 0.7606 0.1157
0.9177 0.4224 0.1163
0.9177 0.9224 0.6161
0.5934 0.5850 0.6157
0.2419 0.2598 0.6157
```



# 19
Compound: Y4MgIn3
Source: Alexandria
Functional: PBE
Structure: relaxed

Computed properties:
Space group: I4/mmm (139)
Formation energy, meV/atom: -428.7
Volume, A^3/atom: 26.657

```
Y4MgIn3
1.0
-1.2993 -2.6025 -4.4482
3.9240 2.4743 -2.5938
3.4297 -5.5039 5.3935
In Y Mg
3 4 1
Direct
0.2533 0.7533 0.5066
0.0000 0.5000 0.0000
0.7467 0.2467 0.4934
0.3748 0.3746 0.7496
0.6252 0.6254 0.2504
0.8748 0.8747 0.7496
0.1252 0.1253 0.2504
0.5000 0.0000 0.0000
```



# 20
Compound: YMgIn2
Source: Alexandria
Functional: PBE
Structure: relaxed

Computed properties:
Space group: Pm (6)
Formation energy, meV/atom: -272.0
Volume, A^3/atom: 25.825

```
YMgIn2
1.0
-0.4776 -4.7258 -0.3043
3.3184 -0.4248 1.3890
-0.6489 -0.3351 6.2223
In Y Mg
2 1 1
Direct
0.0000 0.2026 0.9694
0.5000 0.0456 0.2820
0.5000 0.7900 0.7972
0.0000 0.4618 0.4513
```